[1]
K3Ac2ScO6 | PBE | optimized geometry

size of the total moment	0.0000	μB per atom
raw formation energy	-2574	meV per atom
space-group type	C2/m
final energy	-6.540	eV per atom
theoretical density	5.39	g cm⁻³

Unit cell a=6.348 b=6.348 c=6.634 alpha=98.97 beta=98.97 gamma=120.16
Fractional positions:
K  0.000  0.000  0.000
K  0.345  0.655  0.000
K  0.655  0.345  0.000
Ac  0.167  0.833  0.500
Ac  0.833  0.167  0.500
Sc  0.500  0.500  0.500
O  0.140  0.438  0.311
O  0.262  0.262  0.686
O  0.438  0.140  0.311
O  0.562  0.860  0.689
O  0.738  0.738  0.314
O  0.860  0.562  0.689



[2]
K3Ac3ScO8 | PBE | optimized geometry

size of the total moment	0.0414	μB per atom
raw formation energy	-2564	meV per atom
space-group type	R-3m
final energy	-6.672	eV per atom
theoretical density	5.34	g cm⁻³

Unit cell a=7.663 b=7.663 c=7.663 alpha=57.77 beta=57.77 gamma=57.77
Fractional positions:
K  0.000  0.500  0.500
K  0.500  0.000  0.500
K  0.500  0.500  0.000
Ac  0.000  0.000  0.500
Ac  0.000  0.500  0.000
Ac  0.500  0.000  0.000
Sc  0.500  0.500  0.500
O  0.233  0.233  0.233
O  0.262  0.707  0.707
O  0.293  0.293  0.738
O  0.293  0.738  0.293
O  0.707  0.262  0.707
O  0.707  0.707  0.262
O  0.738  0.293  0.293
O  0.767  0.767  0.767